No. 1
# LiTm5Cu4 | Alexandria via LeMat-Bulk | PBE | relaxed
# Formation energy (eV per atom): -0.210
# Total DFT energy (no corrections) (eV per atom): -4.28
data_LiTm5Cu4
_chemical_formula_sum 'Li1 Tm5 Cu4'
_cell_length_a 3.4320
_cell_length_b 3.4320
_cell_length_c 17.5729
_cell_angle_alpha 90.00
_cell_angle_beta 90.00
_cell_angle_gamma 90.00
_symmetry_space_group_name_H-M 'P 4/m m m'
_symmetry_Int_Tables_number 123
_symmetry_space_group_name_Hall '-P 4 2'
loop_
_atom_site_label
_atom_site_type_symbol
_atom_site_fract_x
_atom_site_fract_y
_atom_site_fract_z
Li1 Li 0.0000 0.0000 0.0000
Tm1 Tm 0.5000 0.5000 0.1128
Tm2 Tm 0.5000 0.5000 0.3051
Tm3 Tm 0.5000 0.5000 0.5000
Cu1 Cu 0.0000 0.0000 0.2044
Cu2 Cu 0.0000 0.0000 0.4030


No. 2
# CdOsCl2 | Alexandria via LeMat-Bulk | PBE | relaxed
# Total DFT energy (no corrections) (eV per atom): -2.85
# E_form (uncorrected) (eV per atom): 1.110
# Relative energy among the computed polymorphs (meV per atom): 1065
data_CdOsCl2
_chemical_formula_sum 'Cd4 Os4 Cl8'
_cell_length_a 6.8696
_cell_length_b 6.8696
_cell_length_c 6.8696
_cell_angle_alpha 90.00
_cell_angle_beta 90.00
_cell_angle_gamma 90.00
_symmetry_space_group_name_H-M 'F -4 3 m'
_symmetry_Int_Tables_number 216
_symmetry_space_group_name_Hall 'F -4 2 3'
loop_
_atom_site_label
_atom_site_type_symbol
_atom_site_fract_x
_atom_site_fract_y
_atom_site_fract_z
Cd1 Cd 0.0000 0.0000 0.0000
Os1 Os 0.2500 0.2500 0.2500
Cl1 Cl 0.0000 0.0000 0.5000
Cl2 Cl 0.2500 0.2500 0.7500


No. 3
# SiC3 | Alexandria via LeMat-Bulk | PBE | relaxed
# Total DFT energy (no corrections) (eV per atom): -6.07
# E_form (uncorrected) (eV per atom): 2.201
# Relative energy among the computed polymorphs (meV per atom): 1702
data_SiC3
_chemical_formula_sum 'Si2 C6'
_cell_length_a 2.5528
_cell_length_b 2.5528
_cell_length_c 14.4231
_cell_angle_alpha 90.00
_cell_angle_beta 90.00
_cell_angle_gamma 90.00
_symmetry_space_group_name_H-M 'I 4/m m m'
_symmetry_Int_Tables_number 139
_symmetry_space_group_name_Hall '-I 4 2'
loop_
_atom_site_label
_atom_site_type_symbol
_atom_site_fract_x
_atom_site_fract_y
_atom_site_fract_z
Si1 Si 0.0000 0.0000 0.0000
C1 C 0.0000 0.0000 0.5000
C2 C 0.0000 0.5000 0.2500


No. 4
# Ac2Nd3Dy4 | Alexandria via LeMat-Bulk | PBE | relaxed
# Formation energy (eV per atom): 0.117
# Total DFT energy (no corrections) (eV per atom): -4.43
# Relative energy among the computed polymorphs (meV per atom): 30
data_Ac2Nd3Dy4
_chemical_formula_sum 'Ac4 Nd6 Dy8'
_cell_length_a 16.7513
_cell_length_b 6.0761
_cell_length_c 6.5214
_cell_angle_alpha 90.00
_cell_angle_beta 105.60
_cell_angle_gamma 90.00
_symmetry_space_group_name_H-M 'C 1 2/m 1'
_symmetry_Int_Tables_number 12
_symmetry_space_group_name_Hall '-C 2y'
loop_
_atom_site_label
_atom_site_type_symbol
_atom_site_fract_x
_atom_site_fract_y
_atom_site_fract_z
Ac1 Ac 0.1677 0.0000 0.3406
Nd1 Nd 0.0000 0.5000 0.0000
Nd2 Nd 0.1027 0.5000 0.5700
Dy1 Dy 0.0590 0.0000 0.7761
Dy2 Dy 0.2205 0.5000 0.0845


No. 5
# Pr2DyZn2Sn2 | Alexandria via LeMat-Bulk | PBE | relaxed
# Formation energy (eV per atom): -0.374
# Total DFT energy (no corrections) (eV per atom): -3.90
data_Pr2DyZn2Sn2
_chemical_formula_sum 'Pr6 Dy3 Zn6 Sn6'
_cell_length_a 4.4461
_cell_length_b 4.4461
_cell_length_c 34.6482
_cell_angle_alpha 90.00
_cell_angle_beta 90.00
_cell_angle_gamma 120.00
_symmetry_space_group_name_H-M 'R -3 m'
_symmetry_Int_Tables_number 166
_symmetry_space_group_name_Hall '-R 3 2"'
loop_
_atom_site_label
_atom_site_type_symbol
_atom_site_fract_x
_atom_site_fract_y
_atom_site_fract_z
Pr1 Pr 0.0000 0.0000 0.1212
Dy1 Dy 0.0000 0.0000 0.0000
Zn1 Zn 0.0000 0.0000 0.4071
Sn1 Sn 0.0000 0.0000 0.2793


No. 6
# Tl3VS4 | Alexandria via LeMat-Bulk | PBE | relaxed
# Total DFT energy (no corrections) (eV per atom): -4.67
# E_form (uncorrected) (eV per atom): -0.578
# Relative energy among the computed polymorphs (meV per atom): 40
data_Tl3VS4
_chemical_formula_sum 'Tl6 V2 S8'
_cell_length_a 9.0460
_cell_length_b 9.0325
_cell_length_c 6.2758
_cell_angle_alpha 90.00
_cell_angle_beta 90.00
_cell_angle_gamma 90.00
_symmetry_space_group_name_H-M 'P m n 21'
_symmetry_Int_Tables_number 31
_symmetry_space_group_name_Hall 'P 2ac -2'
loop_
_atom_site_label
_atom_site_type_symbol
_atom_site_fract_x
_atom_site_fract_y
_atom_site_fract_z
Tl1 Tl 0.0000 0.1144 0.0000
Tl2 Tl 0.2074 0.3327 0.5087
V1 V 0.0000 0.7973 0.3800
S1 S 0.0000 0.0286 0.4673
S2 S 0.0000 0.7914 0.0322
S3 S 0.2018 0.6859 0.4786


No. 7
# CaMnH2N | Alexandria via LeMat-Bulk | PBE | relaxed
# Total DFT energy (no corrections) (eV per atom): -5.76
data_CaMnH2N
_chemical_formula_sum 'Ca1 Mn1 H2 N1'
_cell_length_a 3.5745
_cell_length_b 3.5745
_cell_length_c 3.6402
_cell_angle_alpha 90.00
_cell_angle_beta 90.00
_cell_angle_gamma 90.00
_symmetry_space_group_name_H-M 'P 4/m m m'
_symmetry_Int_Tables_number 123
_symmetry_space_group_name_Hall '-P 4 2'
loop_
_atom_site_label
_atom_site_type_symbol
_atom_site_fract_x
_atom_site_fract_y
_atom_site_fract_z
Ca1 Ca 0.0000 0.0000 0.0000
Mn1 Mn 0.5000 0.5000 0.5000
H1 H 0.0000 0.5000 0.5000
N1 N 0.5000 0.5000 0.0000


No. 8
# Dy4Er5Zr | Alexandria via LeMat-Bulk | PBE | relaxed
# Formation energy (eV per atom): 0.041
# Total DFT energy (no corrections) (eV per atom): -4.94
# Relative energy among the computed polymorphs (meV per atom): 0
data_Dy4Er5Zr
_chemical_formula_sum 'Dy4 Er5 Zr1'
_cell_length_a 3.4750
_cell_length_b 6.9938
_cell_length_c 12.5377
_cell_angle_alpha 82.02
_cell_angle_beta 82.04
_cell_angle_gamma 89.87
_symmetry_space_group_name_H-M 'P -1'
_symmetry_Int_Tables_number 2
_symmetry_space_group_name_Hall '-P 1'
loop_
_atom_site_label
_atom_site_type_symbol
_atom_site_fract_x
_atom_site_fract_y
_atom_site_fract_z
Dy1 Dy 0.0960 0.2878 0.3083
Dy2 Dy 0.0959 0.8082 0.3082
Er1 Er 0.2994 0.8985 0.9014
Er2 Er 0.3005 0.4014 0.8988
Er3 Er 0.5000 0.5000 0.5000
Zr1 Zr 0.5000 0.0000 0.5000


No. 9
# MnMoHOs | Alexandria via LeMat-Bulk | PBE | relaxed
# Total DFT energy (no corrections) (eV per atom): -8.55
# Relative energy among the computed polymorphs (meV per atom): 57
data_MnMoHOs
_chemical_formula_sum 'Mn2 Mo2 H2 Os2'
_cell_length_a 2.7609
_cell_length_b 4.2301
_cell_length_c 7.4590
_cell_angle_alpha 90.00
_cell_angle_beta 90.00
_cell_angle_gamma 90.00
_symmetry_space_group_name_H-M 'A m m 2'
_symmetry_Int_Tables_number 38
_symmetry_space_group_name_Hall 'A 2 -2'
loop_
_atom_site_label
_atom_site_type_symbol
_atom_site_fract_x
_atom_site_fract_y
_atom_site_fract_z
Mn1 Mn 0.0000 0.0000 0.0000
Mo1 Mo 0.5000 0.0000 0.6691
H1 H 0.5000 0.0000 0.1493
Os1 Os 0.0000 0.0000 0.3449


No. 10
# Mg4HgAu | Alexandria via LeMat-Bulk | PBE | relaxed
# Formation energy (eV per atom): -0.280
# Total DFT energy (no corrections) (eV per atom): -1.94
# Relative energy among the computed polymorphs (meV per atom): 78
data_Mg4HgAu
_chemical_formula_sum 'Mg4 Hg1 Au1'
_cell_length_a 4.6457
_cell_length_b 4.6457
_cell_length_c 6.5493
_cell_angle_alpha 90.00
_cell_angle_beta 90.00
_cell_angle_gamma 90.00
_symmetry_space_group_name_H-M 'P 4/m m m'
_symmetry_Int_Tables_number 123
_symmetry_space_group_name_Hall '-P 4 2'
loop_
_atom_site_label
_atom_site_type_symbol
_atom_site_fract_x
_atom_site_fract_y
_atom_site_fract_z
Mg1 Mg 0.0000 0.5000 0.2381
Hg1 Hg 0.0000 0.0000 0.5000
Au1 Au 0.5000 0.5000 0.0000